Entry from Alexandria via LeMat-Bulk: crystalline CdAu3S at its relaxed geometry (PBE-GGA).

a b c (Å): 4.8944 4.8944 4.8944
angles (deg): 90.00 90.00 90.00
Space group Pm-3m (No. 221)
Unique sites:
Cd  0.0000  0.0000  0.0000 x1
Au  0.0000  0.5000  0.5000 x3
S  0.5000  0.5000  0.5000 x1

ΔE_f (raw)	1.93	eV per formula unit
total magnetic moment	0.00	μB per cell



Entry from Alexandria via LeMat-Bulk: crystalline LaMnRu2 at its relaxed geometry (PBE-GGA).

a b c (Å): 3.2339 4.4844 4.9260
angles (deg): 90.00 90.00 90.00
Space group Pmmm (No. 47)
Unique sites:
La  0.0000  0.0000  0.0000 x1
Mn  0.5000  0.0000  0.5000 x1
Ru  0.0000  0.5000  0.5000 x1
Ru  0.5000  0.5000  0.0000 x1

total magnetic moment	4.29	μB per cell
energy	-7.766	eV per atom



Entry from Alexandria via LeMat-Bulk: crystalline LaTeP2 at its relaxed geometry (PBE-GGA).

a b c (Å): 4.2890 4.0009 6.2464
angles (deg): 90.00 105.67 90.00
Space group P2/m (No. 10)
Unique sites:
La  0.0000  0.0000  0.0000 x1
Te  0.5000  0.0000  0.5000 x1
P  0.3953  0.5000  0.8186 x2

ΔE_f (raw)	-2.66	eV per formula unit
total magnetic moment	0.00	μB per cell



Question: What is the total magnetic moment in the third record?
Answer: 0.00 μB per cell



Repeat the second record exactly.
Entry from Alexandria via LeMat-Bulk: crystalline LaMnRu2 at its relaxed geometry (PBE-GGA).

a b c (Å): 3.2339 4.4844 4.9260
angles (deg): 90.00 90.00 90.00
Space group Pmmm (No. 47)
Unique sites:
La  0.0000  0.0000  0.0000 x1
Mn  0.5000  0.0000  0.5000 x1
Ru  0.0000  0.5000  0.5000 x1
Ru  0.5000  0.5000  0.0000 x1

total magnetic moment	4.29	μB per cell
energy	-7.766	eV per atom



Question: total magnetic moment of number 1 (CdAu3S)?
Answer: 0.00 μB per cell



Question: total magnetic moment of number 3 (LaTeP2)?
Answer: 0.00 μB per cell